[1]
Entry from the Alexandria database: crystalline Ta2CrFe at its relaxed geometry (PBE).

Cell lengths 2.754, 4.121, 5.309 Å; angles 90.00, 99.09, 90.00 degrees
Positions (direct):
Ta 0.245 0.000 0.252
Ta 0.755 0.000 0.748
Cr 0.000 0.500 0.500
Fe 0.500 0.500 0.000

Results
excess energy over the best structure of this formula in the dataset = 244.8 meV per atom
space group = P2/m, No. 10
DFT total energy = -10.337 eV per atom
D(E_F) = 3.470 states/eV per cell
total magnetization = 1.2 μB per cell
volume = 14.88 Å³/atom



[2]
Entry from the Alexandria database: crystalline TaCr2Fe at its relaxed geometry (PBE).

Cell lengths 2.626, 2.626, 8.142 Å; angles 90.00, 90.00, 109.21 degrees
Positions (direct):
Ta 0.000 0.000 0.000
Cr 0.000 0.000 0.501
Cr 0.500 0.500 0.274
Fe 0.500 0.500 0.732

Results
excess energy over the best structure of this formula in the dataset = 92.0 meV per atom
space group = Cmm2, No. 35
DFT total energy = -9.759 eV per atom
D(E_F) = 2.872 states/eV per cell
total magnetization = 1.7 μB per cell
volume = 13.26 Å³/atom



[3]
Entry from the Alexandria database: crystalline TaCr2Fe at its relaxed geometry (PBE).

Cell lengths 8.121, 8.121, 8.121 Å; angles 19.90, 19.90, 19.90 degrees
Positions (direct):
Ta 0.000 0.000 0.000
Cr 0.498 0.498 0.498
Cr 0.760 0.760 0.760
Fe 0.243 0.243 0.243

Results
excess energy over the best structure of this formula in the dataset = 325.8 meV per atom
space group = R3m, No. 160
DFT total energy = -9.526 eV per atom
D(E_F) = 4.522 states/eV per cell
total magnetization = 1.4 μB per cell
volume = 13.57 Å³/atom



[4]
Entry from the Alexandria database: crystalline Ta2CrFe at its relaxed geometry (PBE).

Cell lengths 4.946, 4.946, 4.946 Å; angles 142.19, 125.23, 68.48 degrees
Positions (direct):
Ta 0.249 0.249 0.000
Ta 0.751 0.751 0.000
Cr 0.500 0.000 0.500
Fe 0.000 0.500 0.500

Results
excess energy over the best structure of this formula in the dataset = 238.5 meV per atom
space group = Immm, No. 71
DFT total energy = -10.343 eV per atom
D(E_F) = 3.157 states/eV per cell
total magnetization = 1.3 μB per cell
volume = 14.90 Å³/atom



[5]
Entry from the Alexandria database: crystalline TaCrFe at its relaxed geometry (PBE).

Cell lengths 4.035, 4.035, 4.035 Å; angles 60.00, 60.00, 60.00 degrees
Positions (direct):
Ta 0.000 0.000 0.000
Cr 0.500 0.500 0.500
Fe 0.750 0.750 0.750

Results
excess energy over the best structure of this formula in the dataset = 646.9 meV per atom
space group = F-43m, No. 216
DFT total energy = -9.479 eV per atom
D(E_F) = 3.222 states/eV per cell
total magnetization = 1.3 μB per cell
volume = 15.49 Å³/atom



[6]
Entry from the Alexandria database: crystalline TaCrFe at its relaxed geometry (PBE).

Cell lengths 4.240, 4.240, 2.644 Å; angles 90.00, 90.00, 120.00 degrees
Positions (direct):
Ta 0.000 0.000 0.000
Cr 0.667 0.333 0.349
Fe 0.333 0.667 0.654

Results
excess energy over the best structure of this formula in the dataset = 336.5 meV per atom
space group = P3m1, No. 156
DFT total energy = -9.790 eV per atom
D(E_F) = 5.116 states/eV per cell
total magnetization = 1.8 μB per cell
volume = 13.72 Å³/atom



[7]
Entry from the Alexandria database: crystalline Ta2CrFe at its relaxed geometry (PBE).

Cell lengths 4.370, 4.370, 4.370 Å; angles 60.00, 60.00, 60.00 degrees
Positions (direct):
Ta 0.000 0.000 0.000
Ta 0.250 0.250 0.250
Cr 0.750 0.750 0.750
Fe 0.500 0.500 0.500

Results
excess energy over the best structure of this formula in the dataset = 287.4 meV per atom
space group = F-43m, No. 216
DFT total energy = -10.294 eV per atom
D(E_F) = 3.008 states/eV per cell
total magnetization = 0.9 μB per cell
volume = 14.76 Å³/atom



[8]
Entry from the Alexandria database: crystalline Ta3CrFe at its relaxed geometry (PBE).

Cell lengths 4.525, 4.525, 4.525 Å; angles 90.00, 90.00, 90.00 degrees
Positions (direct):
Ta 0.000 0.000 0.500
Ta 0.000 0.500 0.000
Ta 0.500 0.000 0.000
Cr 0.500 0.500 0.500
Fe 0.000 0.000 0.000

Results
excess energy over the best structure of this formula in the dataset = 0.0 meV per atom
space group = Pm-3m, No. 221
DFT total energy = -9.626 eV per atom
D(E_F) = 9.899 states/eV per cell
total magnetization = 0.0 μB per cell
volume = 18.54 Å³/atom



[9]
Entry from the Alexandria database: crystalline TaCr2Fe at its relaxed geometry (PBE).

Cell lengths 2.625, 2.625, 7.740 Å; angles 90.00, 90.00, 101.03 degrees
Positions (direct):
Ta 0.000 0.000 0.000
Cr 0.500 0.500 0.285
Cr 0.500 0.500 0.715
Fe 0.000 0.000 0.500

Results
excess energy over the best structure of this formula in the dataset = 188.3 meV per atom
space group = Cmmm, No. 65
DFT total energy = -9.663 eV per atom
D(E_F) = 6.101 states/eV per cell
total magnetization = 0.0 μB per cell
volume = 13.09 Å³/atom



[10]
Entry from the Alexandria database: crystalline Ta2Cr2Fe at its relaxed geometry (PBE).

Cell lengths 6.160, 6.160, 6.160 Å; angles 143.88, 143.88, 52.00 degrees
Positions (direct):
Ta 0.250 0.750 0.500
Ta 0.750 0.250 0.500
Cr 0.082 0.082 0.000
Cr 0.918 0.918 0.000
Fe 0.500 0.500 0.000

Results
excess energy over the best structure of this formula in the dataset = 873.2 meV per atom
space group = I4/mmm, No. 139
DFT total energy = -9.184 eV per atom
D(E_F) = 7.067 states/eV per cell
total magnetization = 0.0 μB per cell
volume = 16.15 Å³/atom